# 1
VASP calculation (PBE) on an optimized crystal structure of Pu3P2H.

Final energy = -123.61 eV/cell
Size of the total moment = 33.5 μB per cell
N(E_F) = 45.5 states/eV per cell

Geometry as extended XYZ:
```
12
Lattice="5.5851 0.0000 0.0000 0.0000 7.8017 0.1740 -2.7925 -2.0756 5.6643" Properties=species:S:1:pos:R:3 pbc="T T T"
Pu 2.7872 1.8618 4.0269
Pu 0.0053 3.8643 1.8114
Pu 2.5924 5.8512 0.1305
Pu 2.7979 5.7626 4.1139
Pu -0.0053 -0.0365 1.7244
Pu 2.9927 1.9504 0.0435
H 0.1097 5.8512 0.1305
H 5.4754 1.9504 0.0435
P 0.0036 5.7703 3.8390
P 2.7961 3.8565 2.0862
P -0.0036 1.8695 3.7521
P 2.7890 -0.0443 1.9992
```

***

# 2
VASP calculation (PBE) on an optimized crystal structure of Al2AgMo.

Final energy = -21.31 eV/cell
Size of the total moment = 0.0 μB per cell
N(E_F) = 2.7 states/eV per cell

Geometry as extended XYZ:
```
4
Lattice="-3.7653 -1.2349 3.4440 -3.7404 -3.4239 -1.3601 5.2371 0.3459 -0.1305" Properties=species:S:1:pos:R:3 pbc="T T T"
Al -1.1281 -2.7037 -0.2243
Al 0.0000 0.0000 0.0000
Mo -3.7529 -2.3294 1.0419
Ag -1.1406 -1.6092 2.1777
```

***

# 3
VASP calculation (PBE) on an optimized crystal structure of BMo3Pb.

Final energy = -25.31 eV/cell
Size of the total moment = 0.0 μB per cell
N(E_F) = 5.3 states/eV per cell

Geometry as extended XYZ:
```
5
Lattice="-1.2081 -2.3868 4.2245 -0.3360 -4.3019 -2.5266 4.8405 -0.8943 0.8790" Properties=species:S:1:pos:R:3 pbc="T T T"
Mo 2.4203 -0.4471 0.4395
Mo -0.6041 -1.1934 2.1123
Mo -0.1680 -2.1510 -1.2633
Pb 0.0000 0.0000 0.0000
B 1.6482 -3.7915 1.2885
```

***

# 4
VASP calculation (PBE) on an optimized crystal structure of TbMnB.

Final energy = -42.73 eV/cell
Size of the total moment = 2.8 μB per cell
N(E_F) = 5.3 states/eV per cell

Geometry as extended XYZ:
```
6
Lattice="-0.9595 -2.6086 2.1083 1.0308 -2.3160 -2.3966 7.3439 -0.0832 3.2392" Properties=species:S:1:pos:R:3 pbc="T T T"
Mn 3.7076 -2.5039 1.4754
Mn 3.6720 -0.0416 1.6196
Tb 0.9292 -1.3203 1.6756
Tb 6.4504 -1.2253 1.4195
B 3.0930 -1.1872 -0.0614
B 4.2866 -1.3583 3.1564
```

***

# 5
VASP calculation (PBE) on an optimized crystal structure of Li2La2TbIn2.

Final energy = -25.72 eV/cell
Size of the total moment = 0.0 μB per cell
N(E_F) = 5.0 states/eV per cell

Geometry as extended XYZ:
```
7
Lattice="-0.3183 -2.3711 -4.2636 -1.4584 -4.6653 -0.0996 -9.0603 0.3200 -2.3046" Properties=species:S:1:pos:R:3 pbc="T T T"
In -2.2472 -1.8245 -1.6206
In -8.5898 -4.8919 -5.0472
Li -8.1315 -2.5043 -3.6063
Li -2.7056 -4.2121 -3.0615
La -5.6561 -0.7516 -1.9628
La -5.1810 -5.9649 -4.7050
Tb 0.0000 0.0000 0.0000
```